VASP calculation (PBE) on crystalline La3CePr2 at its relaxed geometry.

Cell and atoms, written as POSCAR:
```
La3CePr2
1.0
2.586 -7.792 0.000
2.586 7.792 0.000
0.000 0.000 10.408
La Ce Pr
6 2 4
direct
0.000 0.000 0.242
0.000 0.000 0.758
0.331 0.669 0.239
0.331 0.669 0.761
0.669 0.331 0.239
0.669 0.331 0.761
0.172 0.828 0.000
0.828 0.172 0.000
0.167 0.833 0.500
0.500 0.500 0.000
0.500 0.500 0.500
0.833 0.167 0.500
```

Output
For the total moment, the calculation gives 1.67 Bohr magnetons per cell. Its total energy is -5.003 eV/atom. For the formation energy, the calculation gives 0.043 eV per atom. Its space group is Cmmm, No. 65.



VASP calculation (PBE) on crystalline La15CePr4 at its relaxed geometry.

Cell and atoms, written as POSCAR:
```
La15CePr4
1.0
5.243 0.000 0.000
0.000 5.243 0.000
0.000 0.000 26.359
La Ce Pr
15 1 4
direct
0.000 0.000 0.000
0.000 0.000 0.199
0.000 0.000 0.400
0.000 0.000 0.600
0.000 0.000 0.801
0.000 0.500 0.096
0.000 0.500 0.299
0.000 0.500 0.500
0.000 0.500 0.701
0.000 0.500 0.904
0.500 0.000 0.096
0.500 0.000 0.299
0.500 0.000 0.500
0.500 0.000 0.701
0.500 0.000 0.904
0.500 0.500 0.000
0.500 0.500 0.198
0.500 0.500 0.399
0.500 0.500 0.601
0.500 0.500 0.802
```

Output
For the total moment, the calculation gives 1.35 Bohr magnetons per cell. Its total energy is -4.928 eV/atom. For the formation energy, the calculation gives 0.020 eV per atom. Its space group is P4/mmm, No. 123.



VASP calculation (PBE) on crystalline La4CePr5 at its relaxed geometry.

Cell and atoms, written as POSCAR:
```
La4CePr5
1.0
9.192 -1.800 0.000
9.192 1.800 0.000
-3.359 0.000 10.851
La Ce Pr
4 1 5
direct
0.090 0.090 0.305
0.306 0.306 0.419
0.694 0.694 0.581
0.910 0.910 0.695
0.500 0.500 0.500
0.105 0.105 0.787
0.206 0.206 0.100
0.500 0.500 0.000
0.794 0.794 0.900
0.895 0.895 0.213
```

Output
For the total moment, the calculation gives 0.61 Bohr magnetons per cell. Its total energy is -4.860 eV/atom. For the formation energy, the calculation gives 0.094 eV per atom. Its space group is C2/m, No. 12.



VASP calculation (PBE) on crystalline La3CePr3 at its relaxed geometry.

Cell and atoms, written as POSCAR:
```
La3CePr3
1.0
5.997 -5.688 0.000
5.997 5.688 0.000
-1.105 0.000 7.317
La Ce Pr
6 2 6
direct
0.014 0.450 0.751
0.016 0.016 0.261
0.450 0.014 0.751
0.550 0.986 0.249
0.984 0.984 0.739
0.986 0.550 0.249
0.273 0.273 0.550
0.727 0.727 0.450
0.290 0.290 0.084
0.295 0.705 0.000
0.313 0.687 0.500
0.687 0.313 0.500
0.705 0.295 0.000
0.710 0.710 0.916
```

Output
For the total moment, the calculation gives 1.67 Bohr magnetons per cell. Its total energy is -4.830 eV/atom. For the formation energy, the calculation gives 0.178 eV per atom. Its space group is C2/m, No. 12.



VASP calculation (PBE) on crystalline La2Ce2Pr at its relaxed geometry.

Cell and atoms, written as POSCAR:
```
La2Ce2Pr
1.0
-1.919 1.919 11.897
1.919 -1.919 11.897
1.919 1.919 -11.897
La Ce Pr
2 2 1
direct
0.108 0.108 0.000
0.892 0.892 0.000
0.250 0.750 0.500
0.750 0.250 0.500
0.500 0.500 0.000
```

Output
For the total moment, the calculation gives 0.00 Bohr magnetons per cell. Its total energy is -4.961 eV/atom. For the formation energy, the calculation gives 0.340 eV per atom. Its space group is I4/mmm, No. 139.



VASP calculation (PBE) on crystalline LaCe2Pr at its relaxed geometry.

Cell and atoms, written as POSCAR:
```
LaCe2Pr
1.0
3.515 0.000 0.000
0.000 3.515 0.000
0.000 0.000 10.259
La Ce Pr
1 2 1
direct
0.000 0.000 0.000
0.500 0.500 0.246
0.500 0.500 0.754
0.000 0.000 0.500
```

Output
For the distance to the lowest polymorph of the same formula, the calculation gives 0.0013 eV per atom. For the total moment, the calculation gives 1.29 Bohr magnetons per cell. Its total energy is -5.279 eV/atom. For the formation energy, the calculation gives 0.115 eV per atom. Its space group is P4/mmm, No. 123.



VASP calculation (PBE) on crystalline LaCe2Pr at its relaxed geometry.

Cell and atoms, written as POSCAR:
```
LaCe2Pr
1.0
4.993 0.000 0.000
0.000 4.993 0.000
0.000 0.000 5.117
La Ce Pr
1 2 1
direct
0.000 0.000 0.000
0.000 0.500 0.500
0.500 0.000 0.500
0.500 0.500 0.000
```

Output
For the distance to the lowest polymorph of the same formula, the calculation gives 0.0000 eV per atom. For the total moment, the calculation gives 1.39 Bohr magnetons per cell. Its total energy is -5.280 eV/atom. For the formation energy, the calculation gives 0.113 eV per atom. Its space group is P4/mmm, No. 123.



VASP calculation (PBE) on crystalline La5CePr at its relaxed geometry.

Cell and atoms, written as POSCAR:
```
La5CePr
1.0
3.168 -8.777 0.000
3.168 8.777 0.000
-1.986 0.000 8.986
La Ce Pr
10 2 2
direct
0.023 0.387 0.659
0.149 0.851 0.750
0.267 0.557 0.048
0.387 0.023 0.159
0.443 0.733 0.452
0.557 0.267 0.548
0.613 0.977 0.841
0.733 0.443 0.952
0.851 0.149 0.250
0.977 0.613 0.341
0.497 0.503 0.250
0.503 0.497 0.750
0.000 0.000 0.000
0.000 0.000 0.500
```

Output
For the total moment, the calculation gives 1.98 Bohr magnetons per cell. Its total energy is -4.879 eV/atom. For the formation energy, the calculation gives 0.171 eV per atom. Its space group is C2/c, No. 15.



> What is the total moment in the sixth record?

1.29 Bohr magnetons per cell